# 1
5
Lattice="5.8877 0.0000 0.0000 0.0000 5.8877 0.0000 0.0000 0.0000 5.8877" Properties=species:S:1:pos:R:3 comment="GGA-PBEsol CdHg3Br, optimized geometry" n_ef_per_ev_atom=0.63 dft_energy_ev_per_fu=-2.6 vol_a3_per_cell=204.1 magnetic_moment_mub_per_cell=0.000 sg="Pm-3m, No. 221" pbc="T T T"
Cd 0.0000 0.0000 0.0000
Hg 0.0000 2.9438 2.9438
Hg 2.9438 0.0000 2.9438
Hg 2.9438 2.9438 0.0000
Br 2.9438 2.9438 2.9438

***

# 2
4
Lattice="0.0000 3.2886 3.2886 3.2886 0.0000 3.2886 3.2886 3.2886 0.0000" Properties=species:S:1:pos:R:3 comment="GGA-PBEsol Sc2SbOs, optimized geometry" n_ef_per_ev_atom=0.74 dft_energy_ev_per_fu=-31.3 vol_a3_per_cell=71.1 magnetic_moment_mub_per_cell=0.001 sg="F-43m, No. 216" pbc="T T T"
Sc 0.0000 0.0000 0.0000
Sc 1.6443 1.6443 1.6443
Sb 4.9329 4.9329 4.9329
Os 3.2886 3.2886 3.2886

***

# 3
14
Lattice="-4.1079 4.1079 4.1104 4.1079 -4.1079 4.1104 4.1079 4.1079 -4.1104" Properties=species:S:1:pos:R:3 comment="GGA-PBEsol CaHo2S4, optimized geometry" n_ef_per_ev_atom=0.00 vol_a3_per_cell=277.5 magnetic_moment_mub_per_cell=0.000 sg="I-42d, No. 122" relative_energy_kj_per_mol_atoms=0.0 pbc="T T T"
Ca 0.0000 0.0000 0.0000
Ca 0.0000 4.1079 2.0552
Ho 2.0540 -1.0492 3.0828
Ho 3.0587 2.0540 1.0276
Ho 2.0540 5.1571 -1.0276
Ho 1.0492 2.0540 5.1380
S 3.4985 2.6640 -1.5777
S 5.5519 0.6094 0.4775
S 0.6094 2.6640 -0.4775
S 0.6094 1.4440 2.5327
S 1.4440 -0.6094 5.6881
S 3.4985 1.4440 3.6329
S 2.6640 4.7173 1.5777
S -1.4440 3.4985 4.5879

***

# 4
4
Lattice="-1.9954 1.9973 4.6568 1.9954 -1.9973 4.6568 1.9954 1.9973 -4.6568" Properties=species:S:1:pos:R:3 comment="GGA-PBEsol Mg2AgAs, optimized geometry" n_ef_per_ev_atom=0.28 vol_a3_per_cell=74.2 magnetic_moment_mub_per_cell=0.000 sg="Imm2, No. 44" delta_e_f_mev_per_atom=-211.6 pbc="T T T"
Mg 0.0000 0.0000 0.0000
Mg 0.0000 1.9973 2.3262
Ag 1.9954 0.0000 2.3306
As 0.0000 0.0000 4.6537

***

# 5
4
Lattice="5.7037 0.0000 0.0000 0.0000 5.7037 0.0000 0.0000 0.0000 4.0164" Properties=species:S:1:pos:R:3 comment="GGA-PBEsol Ba2SiHg, optimized geometry" n_ef_per_ev_atom=0.69 dft_energy_ev_per_fu=-12.0 vol_a3_per_cell=130.7 magnetic_moment_mub_per_cell=0.000 sg="P4/mmm, No. 123" pbc="T T T"
Ba 0.0000 2.8518 0.0000
Ba 2.8518 0.0000 0.0000
Si 0.0000 0.0000 2.0082
Hg 2.8518 2.8518 2.0082

***

# 6
4
Lattice="1.5836 0.9143 9.4271 -1.5836 0.9143 9.4271 0.0000 -1.8286 9.4271" Properties=species:S:1:pos:R:3 comment="GGA-PBEsol CdAgHg2, optimized geometry" n_ef_per_ev_atom=0.33 vol_a3_per_cell=81.9 magnetic_moment_mub_per_cell=0.000 sg="R3m, No. 160" delta_e_f_mev_per_atom=18.6 pbc="T T T"
Cd 0.0000 0.0000 0.0000
Ag 0.0000 0.0000 7.2360
Hg 0.0000 0.0000 14.4004
Hg 0.0000 0.0000 21.3040